[1]
Material: HfCuReSb2
Method: DFT, GGA-PBE
State: optimized geometry

a = 4.909 Å, b = 4.909 Å, c = 4.640 Å
α = 90.00°, β = 90.00°, γ = 90.00°
Space group P4/mmm (No. 123)
One atom of each set of equivalent atoms:
Hf1 0.000 0.000 0.000 [1 per cell]
Cu1 0.500 0.500 0.500 [1 per cell]
Re1 0.500 0.500 0.000 [1 per cell]
Sb1 0.000 0.500 0.500 [2 per cell]

Results
Crystal system ... tetragonal
Raw formation energy ... 1.069 eV/atom

---

[2]
Material: HfScCuRe
Method: DFT, GGA-PBE
State: optimized geometry

a = 6.510 Å, b = 6.510 Å, c = 6.510 Å
α = 90.00°, β = 90.00°, γ = 90.00°
Space group F-43m (No. 216)
One atom of each set of equivalent atoms:
Hf1 0.000 0.000 0.000 [4 per cell]
Sc1 0.000 0.000 0.500 [4 per cell]
Cu1 0.250 0.250 0.750 [4 per cell]
Re1 0.250 0.250 0.250 [4 per cell]

Results
Energy of formation ... -0.228 eV per atom
Crystal system ... cubic

---

[3]
Material: HfSc2CuRe
Method: DFT, GGA-PBE
State: optimized geometry

a = 5.027 Å, b = 5.027 Å, c = 5.018 Å
α = 90.00°, β = 90.00°, γ = 90.00°
Space group P4/mmm (No. 123)
One atom of each set of equivalent atoms:
Hf1 0.000 0.000 0.000 [1 per cell]
Sc1 0.000 0.500 0.500 [2 per cell]
Cu1 0.500 0.500 0.000 [1 per cell]
Re1 0.000 0.000 0.500 [1 per cell]

Results
Energy of formation ... 0.596 eV per atom
Crystal system ... tetragonal

---

[4]
Material: HfScCuRe2
Method: DFT, GGA-PBE
State: optimized geometry

a = 4.662 Å, b = 4.662 Å, c = 4.344 Å
α = 90.00°, β = 90.00°, γ = 90.00°
Space group P4/mmm (No. 123)
One atom of each set of equivalent atoms:
Hf1 0.000 0.000 0.000 [1 per cell]
Sc1 0.500 0.500 0.000 [1 per cell]
Cu1 0.500 0.500 0.500 [1 per cell]
Re1 0.000 0.500 0.500 [2 per cell]

Results
Energy of formation ... 0.992 eV per atom
Crystal system ... tetragonal

---

[5]
Material: HfCuReSe2
Method: DFT, GGA-PBE
State: optimized geometry

a = 5.117 Å, b = 5.117 Å, c = 5.021 Å
α = 90.00°, β = 90.00°, γ = 90.00°
Space group P4/mmm (No. 123)
One atom of each set of equivalent atoms:
Hf1 0.000 0.000 0.000 [1 per cell]
Cu1 0.000 0.000 0.500 [1 per cell]
Re1 0.500 0.500 0.500 [1 per cell]
Se1 0.000 0.500 0.000 [2 per cell]

Results
Crystal system ... tetragonal
Raw formation energy ... 1.122 eV/atom

---

[6]
Material: HfCuReSi2
Method: DFT, GGA-PBE
State: optimized geometry

a = 4.892 Å, b = 4.892 Å, c = 4.712 Å
α = 90.00°, β = 90.00°, γ = 90.00°
Space group P4/mmm (No. 123)
One atom of each set of equivalent atoms:
Hf1 0.000 0.000 0.000 [1 per cell]
Cu1 0.000 0.000 0.500 [1 per cell]
Re1 0.500 0.500 0.500 [1 per cell]
Si1 0.000 0.500 0.000 [2 per cell]

Results
Crystal system ... tetragonal
Raw formation energy ... 1.850 eV/atom

---

[7]
Material: HfTaCuRe
Method: DFT, GGA-PBE
State: optimized geometry

a = 6.442 Å, b = 6.442 Å, c = 6.442 Å
α = 90.00°, β = 90.00°, γ = 90.00°
Space group F-43m (No. 216)
One atom of each set of equivalent atoms:
Hf1 0.000 0.000 0.000 [4 per cell]
Ta1 0.000 0.000 0.500 [4 per cell]
Cu1 0.250 0.250 0.250 [4 per cell]
Re1 0.250 0.250 0.750 [4 per cell]

Results
Energy of formation ... -0.175 eV per atom
Crystal system ... cubic

---

[8]
Material: HfTaCuRe2
Method: DFT, GGA-PBE
State: optimized geometry

a = 4.737 Å, b = 4.737 Å, c = 4.471 Å
α = 90.00°, β = 90.00°, γ = 90.00°
Space group P4/mmm (No. 123)
One atom of each set of equivalent atoms:
Hf1 0.000 0.000 0.000 [1 per cell]
Ta1 0.500 0.500 0.500 [1 per cell]
Cu1 0.000 0.000 0.500 [1 per cell]
Re1 0.000 0.500 0.000 [2 per cell]

Results
Energy of formation ... 2.038 eV per atom
Crystal system ... tetragonal

---

[9]
Material: HfCuRe2Te
Method: DFT, GGA-PBE
State: optimized geometry

a = 4.859 Å, b = 4.859 Å, c = 4.527 Å
α = 90.00°, β = 90.00°, γ = 90.00°
Space group P4/mmm (No. 123)
One atom of each set of equivalent atoms:
Hf1 0.000 0.000 0.000 [1 per cell]
Cu1 0.500 0.500 0.000 [1 per cell]
Re1 0.000 0.500 0.500 [2 per cell]
Te1 0.500 0.500 0.500 [1 per cell]

Results
Crystal system ... tetragonal
Raw formation energy ... 1.653 eV/atom

---

[10]
Material: HfTiCuRe
Method: DFT, GGA-PBE
State: optimized geometry

a = 3.233 Å, b = 3.233 Å, c = 6.219 Å
α = 90.00°, β = 90.00°, γ = 90.00°
Space group P4mm (No. 99)
One atom of each set of equivalent atoms:
Hf1 0.000 0.000 0.000 [1 per cell]
Ti1 0.000 0.000 0.489 [1 per cell]
Cu1 0.500 0.500 0.731 [1 per cell]
Re1 0.500 0.500 0.261 [1 per cell]

Results
Energy of formation ... -0.280 eV per atom
Crystal system ... tetragonal

---

[11]
Material: HfTiCuRe
Method: DFT, GGA-PBE
State: optimized geometry

a = 6.380 Å, b = 6.380 Å, c = 6.380 Å
α = 90.00°, β = 90.00°, γ = 90.00°
Space group F-43m (No. 216)
One atom of each set of equivalent atoms:
Hf1 0.000 0.000 0.000 [4 per cell]
Ti1 0.000 0.000 0.500 [4 per cell]
Cu1 0.250 0.250 0.250 [4 per cell]
Re1 0.250 0.250 0.750 [4 per cell]

Results
Energy of formation ... -0.246 eV per atom
Crystal system ... cubic

---

[12]
Material: HfVCuRe
Method: DFT, GGA-PBE
State: optimized geometry

a = 6.293 Å, b = 6.293 Å, c = 6.293 Å
α = 90.00°, β = 90.00°, γ = 90.00°
Space group F-43m (No. 216)
One atom of each set of equivalent atoms:
Hf1 0.000 0.000 0.000 [4 per cell]
V1 0.000 0.000 0.500 [4 per cell]
Cu1 0.250 0.250 0.750 [4 per cell]
Re1 0.250 0.250 0.250 [4 per cell]

Results
Energy of formation ... -0.071 eV per atom
Crystal system ... cubic

---

[13]
Material: YHfCuRe
Method: DFT, GGA-PBE
State: optimized geometry

a = 6.704 Å, b = 6.704 Å, c = 6.704 Å
α = 90.00°, β = 90.00°, γ = 90.00°
Space group F-43m (No. 216)
One atom of each set of equivalent atoms:
Y1 0.000 0.000 0.000 [4 per cell]
Hf1 0.000 0.000 0.500 [4 per cell]
Cu1 0.250 0.250 0.750 [4 per cell]
Re1 0.250 0.250 0.250 [4 per cell]

Results
Energy of formation ... -0.076 eV per atom
Crystal system ... cubic

---

[14]
Material: HfZrCuRe
Method: DFT, GGA-PBE
State: optimized geometry

a = 6.571 Å, b = 6.571 Å, c = 6.571 Å
α = 90.00°, β = 90.00°, γ = 90.00°
Space group F-43m (No. 216)
One atom of each set of equivalent atoms:
Hf1 0.000 0.000 0.000 [4 per cell]
Zr1 0.000 0.000 0.500 [4 per cell]
Cu1 0.250 0.250 0.750 [4 per cell]
Re1 0.250 0.250 0.250 [4 per cell]

Results
Energy of formation ... -0.243 eV per atom
Crystal system ... cubic

---

[15]
Material: Hf2Cu2Rh3
Method: DFT, GGA-PBE
State: optimized geometry

a = 7.732 Å, b = 4.464 Å, c = 7.185 Å
α = 90.00°, β = 110.90°, γ = 90.00°
Space group C2/m (No. 12)
One atom of each set of equivalent atoms:
Hf1 0.110 0.000 0.328 [4 per cell]
Cu1 0.130 0.500 0.892 [4 per cell]
Rh1 0.000 0.500 0.500 [2 per cell]
Rh2 0.245 0.000 0.737 [4 per cell]

Results
Energy of formation ... -0.487 eV per atom
Crystal system ... monoclinic

---

[16]
Material: HfCuRh
Method: DFT, GGA-PBE
State: optimized geometry

a = 4.505 Å, b = 5.493 Å, c = 7.615 Å
α = 90.00°, β = 90.00°, γ = 90.00°
Space group Immm (No. 71)
One atom of each set of equivalent atoms:
Hf1 0.000 0.000 0.191 [4 per cell]
Cu1 0.000 0.500 0.149 [4 per cell]
Rh1 0.000 0.254 0.500 [4 per cell]

Results
Energy of formation ... -0.427 eV per atom
Crystal system ... orthorhombic

---

[17]
Material: HfCuRh
Method: DFT, GGA-PBE
State: optimized geometry

a = 3.428 Å, b = 5.261 Å, c = 10.922 Å
α = 90.00°, β = 90.00°, γ = 90.00°
Space group Immm (No. 71)
One atom of each set of equivalent atoms:
Hf1 0.000 0.000 0.186 [4 per cell]
Cu1 0.000 0.266 0.500 [4 per cell]
Rh1 0.000 0.500 0.129 [4 per cell]

Results
Energy of formation ... -0.460 eV per atom
Crystal system ... orthorhombic

---

[18]
Material: Hf2CuRh
Method: DFT, GGA-PBE
State: optimized geometry

a = 4.625 Å, b = 4.625 Å, c = 3.233 Å
α = 90.00°, β = 90.00°, γ = 90.00°
Space group P4/mmm (No. 123)
One atom of each set of equivalent atoms:
Hf1 0.000 0.500 0.000 [2 per cell]
Cu1 0.000 0.000 0.500 [1 per cell]
Rh1 0.500 0.500 0.500 [1 per cell]

Results
Energy of formation ... -0.501 eV per atom
Crystal system ... tetragonal

---

[19]
Material: Hf6CuRh
Method: DFT, GGA-PBE
State: optimized geometry

a = 4.562 Å, b = 4.562 Å, c = 15.137 Å
α = 90.00°, β = 90.00°, γ = 90.00°
Space group I4/mmm (No. 139)
One atom of each set of equivalent atoms:
Hf1 0.000 0.000 0.250 [4 per cell]
Hf2 0.000 0.500 0.111 [8 per cell]
Cu1 0.000 0.000 0.000 [2 per cell]
Rh1 0.000 0.000 0.500 [2 per cell]

Results
Energy of formation ... -0.270 eV per atom
Crystal system ... tetragonal

---

[20]
Material: Hf2CuRh
Method: DFT, GGA-PBE
State: optimized geometry

a = 6.519 Å, b = 6.519 Å, c = 6.519 Å
α = 90.00°, β = 90.00°, γ = 90.00°
Space group Fm-3m (No. 225)
One atom of each set of equivalent atoms:
Hf1 0.250 0.250 0.250 [8 per cell]
Cu1 0.000 0.000 0.000 [4 per cell]
Rh1 0.000 0.000 0.500 [4 per cell]

Results
Energy of formation ... -0.489 eV per atom
Crystal system ... cubic

---

[21]
Material: Hf3CuRh
Method: DFT, GGA-PBE
State: optimized geometry

a = 4.947 Å, b = 4.947 Å, c = 4.947 Å
α = 90.00°, β = 90.00°, γ = 90.00°
Space group Pm-3m (No. 221)
One atom of each set of equivalent atoms:
Hf1 0.000 0.000 0.500 [3 per cell]
Cu1 0.500 0.500 0.500 [1 per cell]
Rh1 0.000 0.000 0.000 [1 per cell]

Results
Energy of formation ... 0.507 eV per atom
Crystal system ... cubic

---

[22]
Material: HfCuRh
Method: DFT, GGA-PBE
State: optimized geometry

a = 4.249 Å, b = 8.986 Å, c = 5.082 Å
α = 90.00°, β = 90.00°, γ = 90.00°
Space group Cmcm (No. 63)
One atom of each set of equivalent atoms:
Hf1 0.000 0.210 0.250 [4 per cell]
Cu1 0.000 0.500 0.000 [4 per cell]
Rh1 0.000 0.102 0.750 [4 per cell]

Results
Energy of formation ... -0.592 eV per atom
Crystal system ... orthorhombic

---

[23]
Material: HfCuRh
Method: DFT, GGA-PBE
State: optimized geometry

a = 3.350 Å, b = 3.350 Å, c = 8.481 Å
α = 90.00°, β = 90.00°, γ = 90.00°
Space group I4mm (No. 107)
One atom of each set of equivalent atoms:
Hf1 0.000 0.000 0.000 [2 per cell]
Cu1 0.000 0.000 0.671 [2 per cell]
Rh1 0.000 0.000 0.340 [2 per cell]

Results
Energy of formation ... -0.556 eV per atom
Crystal system ... tetragonal

---

[24]
Material: Hf2Cu2Rh
Method: DFT, GGA-PBE
State: optimized geometry

a = 6.936 Å, b = 6.936 Å, c = 3.369 Å
α = 90.00°, β = 90.00°, γ = 90.00°
Space group P4/mbm (No. 127)
One atom of each set of equivalent atoms:
Hf1 0.180 0.320 0.000 [4 per cell]
Cu1 0.122 0.622 0.500 [4 per cell]
Rh1 0.000 0.000 0.500 [2 per cell]

Results
Energy of formation ... -0.333 eV per atom
Crystal system ... tetragonal

---

[25]
Material: HfCuRh
Method: DFT, GGA-PBE
State: optimized geometry

a = 4.3190 Å, b = 4.3190 Å, c = 2.9895 Å
α = 90.00°, β = 90.00°, γ = 120.00°
Space group P3m1 (No. 156)
One atom of each set of equivalent atoms:
Hf1 0.0000 0.0000 0.0000 [1 per cell]
Cu1 0.3333 0.6667 0.5045 [1 per cell]
Rh1 0.6667 0.3333 0.4871 [1 per cell]

Results
Energy of formation ... -0.398 eV per atom
Crystal system ... trigonal

---

[26]
Material: Hf2CuRh
Method: DFT, GGA-PBE
State: optimized geometry

a = 7.225 Å, b = 7.225 Å, c = 5.679 Å
α = 90.00°, β = 90.00°, γ = 90.00°
Space group I-42d (No. 122)
One atom of each set of equivalent atoms:
Hf1 0.237 0.250 0.125 [8 per cell]
Cu1 0.000 0.000 0.500 [4 per cell]
Rh1 0.000 0.000 0.000 [4 per cell]

Results
Energy of formation ... -0.019 eV per atom
Crystal system ... tetragonal

---

[27]
Material: Hf2Cu2Rh
Method: DFT, GGA-PBE
State: optimized geometry

a = 7.214 Å, b = 4.155 Å, c = 6.150 Å
α = 90.00°, β = 113.08°, γ = 90.00°
Space group C2/m (No. 12)
One atom of each set of equivalent atoms:
Hf1 0.093 0.000 0.279 [4 per cell]
Cu1 0.161 0.500 0.983 [4 per cell]
Rh1 0.000 0.500 0.500 [2 per cell]

Results
Energy of formation ... -0.339 eV per atom
Crystal system ... monoclinic

---

[28]
Material: HfCu4Rh
Method: DFT, GGA-PBE
State: optimized geometry

a = 6.865 Å, b = 6.865 Å, c = 6.865 Å
α = 90.00°, β = 90.00°, γ = 90.00°
Space group F-43m (No. 216)
One atom of each set of equivalent atoms:
Hf1 0.000 0.000 0.000 [4 per cell]
Cu1 0.125 0.125 0.625 [16 per cell]
Rh1 0.250 0.250 0.250 [4 per cell]

Results
Energy of formation ... -0.285 eV per atom
Crystal system ... cubic